## MgCoSb4 (GGA-PBE)

Data for crystalline MgCoSb4 at its relaxed geometry.

Cell lengths 8.716, 8.716, 8.716 Å; angles 90.00, 90.00, 90.00 degrees
Space group F-43m (No. 216)
Asymmetric unit:
1 Mg 0.000 0.000 0.000
2 Co 0.250 0.250 0.250
3 Sb 0.125 0.125 0.625

Calculated values
raw formation energy = 669 meV per atom
Fermi-level density of states = 1.9 states/eV/f.u.
spin magnetization = 2.2 μB per formula unit
DFT total energy = -3.53 eV/atom

## TiPdO2 (GGA-PBE)

Data for crystalline TiPdO2 at its relaxed geometry.

Cell lengths 5.496, 5.496, 5.496 Å; angles 90.00, 90.00, 90.00 degrees
Space group Fm-3m (No. 225)
Asymmetric unit:
1 Ti 0.000 0.000 0.000
2 Pd 0.000 0.000 0.500
3 O 0.250 0.250 0.250

Calculated values
raw formation energy = -1000 meV per atom
Fermi-level density of states = 0.3 states/eV/f.u.
spin magnetization = 0.0 μB per formula unit
DFT total energy = -6.75 eV/atom

## GeRhNF2 (GGA-PBE)

Data for crystalline GeRhNF2 at its relaxed geometry.

Cell lengths 4.420, 4.420, 3.686 Å; angles 90.00, 90.00, 90.00 degrees
Space group P4/mmm (No. 123)
Asymmetric unit:
1 Ge 0.000 0.000 0.000
2 Rh 0.500 0.500 0.500
3 N 0.500 0.500 0.000
4 F 0.000 0.500 0.500

Calculated values
raw formation energy = -239 meV per atom
Fermi-level density of states = 2.8 states/eV/f.u.
spin magnetization = 0.0 μB per formula unit
DFT total energy = -5.05 eV/atom